# PBE-GGA Ba2In2Sb, optimized geometry
# Relative energy among the computed polymorphs ... 0.038 eV per atom
# Energy ... -31.69 eV/cell
# Crystal system ... tetragonal
# V ... 36.9 A^3/atom
data_Ba2In2Sb
_chemical_formula_sum 'Ba4 In4 Sb2'
_symmetry_space_group_name_H-M 'P 4/m b m'
_symmetry_Int_Tables_number 127
_symmetry_space_group_name_Hall '-P 4 2ab'
_cell_length_a 8.2613
_cell_length_b 8.2613
_cell_length_c 5.4073
_cell_angle_alpha 90.00
_cell_angle_beta 90.00
_cell_angle_gamma 90.00
loop_
_atom_site_label
_atom_site_type_symbol
_atom_site_fract_x
_atom_site_fract_y
_atom_site_fract_z
_atom_site_occupancy
Ba1 Ba 0.1751 0.3249 0.0000 1
In1 In 0.1280 0.6280 0.5000 1
Sb1 Sb 0.0000 0.0000 0.5000 1


# PBE-GGA ZrScPt2, optimized geometry
# Energy ... -54.42 eV/cell
# Crystal system ... orthorhombic
# V ... 19.5 A^3/atom
data_ZrScPt2
_chemical_formula_sum 'Zr2 Sc2 Pt4'
_symmetry_space_group_name_H-M 'I m m m'
_symmetry_Int_Tables_number 71
_symmetry_space_group_name_Hall '-I 2 2'
_cell_length_a 2.9305
_cell_length_b 5.1007
_cell_length_c 10.4180
_cell_angle_alpha 90.00
_cell_angle_beta 90.00
_cell_angle_gamma 90.00
loop_
_atom_site_label
_atom_site_type_symbol
_atom_site_fract_x
_atom_site_fract_y
_atom_site_fract_z
_atom_site_occupancy
Zr1 Zr 0.0000 0.0000 0.0000 1
Sc1 Sc 0.0000 0.0000 0.5000 1
Pt1 Pt 0.0000 0.0000 0.2512 1


# PBE-GGA KTeBr2, optimized geometry
# Relative energy among the computed polymorphs ... 0.369 eV per atom
# Energy ... -27.78 eV/cell
# Crystal system ... trigonal
# V ... 32.2 A^3/atom
data_KTeBr2
_chemical_formula_sum 'K3 Te3 Br6'
_symmetry_space_group_name_H-M 'R -3 m'
_symmetry_Int_Tables_number 166
_symmetry_space_group_name_Hall '-R 3 2"'
_cell_length_a 3.9332
_cell_length_b 3.9332
_cell_length_c 28.8619
_cell_angle_alpha 90.00
_cell_angle_beta 90.00
_cell_angle_gamma 120.00
loop_
_atom_site_label
_atom_site_type_symbol
_atom_site_fract_x
_atom_site_fract_y
_atom_site_fract_z
_atom_site_occupancy
K1 K 0.0000 0.0000 0.0000 1
Te1 Te 0.0000 0.0000 0.5000 1
Br1 Br 0.0000 0.0000 0.2547 1


# PBE-GGA RbNa2LaC, optimized geometry
# Energy ... -15.16 eV/cell
# Crystal system ... tetragonal
# V ... 35.0 A^3/atom
data_RbNa2LaC
_chemical_formula_sum 'Rb1 Na2 La1 C1'
_symmetry_space_group_name_H-M 'P 4/m m m'
_symmetry_Int_Tables_number 123
_symmetry_space_group_name_Hall '-P 4 2'
_cell_length_a 6.1826
_cell_length_b 6.1826
_cell_length_c 4.5759
_cell_angle_alpha 90.00
_cell_angle_beta 90.00
_cell_angle_gamma 90.00
loop_
_atom_site_label
_atom_site_type_symbol
_atom_site_fract_x
_atom_site_fract_y
_atom_site_fract_z
_atom_site_occupancy
Rb1 Rb 0.0000 0.0000 0.0000 1
Na1 Na 0.0000 0.5000 0.5000 1
La1 La 0.5000 0.5000 0.0000 1
C1 C 0.5000 0.5000 0.5000 1


Repeat the fourth record exactly.
# PBE-GGA RbNa2LaC, optimized geometry
# Energy ... -15.16 eV/cell
# Crystal system ... tetragonal
# V ... 35.0 A^3/atom
data_RbNa2LaC
_chemical_formula_sum 'Rb1 Na2 La1 C1'
_symmetry_space_group_name_H-M 'P 4/m m m'
_symmetry_Int_Tables_number 123
_symmetry_space_group_name_Hall '-P 4 2'
_cell_length_a 6.1826
_cell_length_b 6.1826
_cell_length_c 4.5759
_cell_angle_alpha 90.00
_cell_angle_beta 90.00
_cell_angle_gamma 90.00
loop_
_atom_site_label
_atom_site_type_symbol
_atom_site_fract_x
_atom_site_fract_y
_atom_site_fract_z
_atom_site_occupancy
Rb1 Rb 0.0000 0.0000 0.0000 1
Na1 Na 0.0000 0.5000 0.5000 1
La1 La 0.5000 0.5000 0.0000 1
C1 C 0.5000 0.5000 0.5000 1


Repeat the second record exactly.
# PBE-GGA ZrScPt2, optimized geometry
# Energy ... -54.42 eV/cell
# Crystal system ... orthorhombic
# V ... 19.5 A^3/atom
data_ZrScPt2
_chemical_formula_sum 'Zr2 Sc2 Pt4'
_symmetry_space_group_name_H-M 'I m m m'
_symmetry_Int_Tables_number 71
_symmetry_space_group_name_Hall '-I 2 2'
_cell_length_a 2.9305
_cell_length_b 5.1007
_cell_length_c 10.4180
_cell_angle_alpha 90.00
_cell_angle_beta 90.00
_cell_angle_gamma 90.00
loop_
_atom_site_label
_atom_site_type_symbol
_atom_site_fract_x
_atom_site_fract_y
_atom_site_fract_z
_atom_site_occupancy
Zr1 Zr 0.0000 0.0000 0.0000 1
Sc1 Sc 0.0000 0.0000 0.5000 1
Pt1 Pt 0.0000 0.0000 0.2512 1